[1]
SrAlW2 | GGA-PBE | optimized geometry

The total magnetic moment is 0.0 μB/f.u. The value obtained for the energy relative to the elements is 2.791 eV/f.u.

The space group is Cmmm (No. 65) and the conventional cell measures 3.7662, 4.1091 and 9.7586 Å, with angles of 90.00, 90.00 and 90.00 degrees. The asymmetric unit holds Sr at (0.0000, 0.0000, 0.0000), Al at (0.0000, 0.0000, 0.5000) and W at (0.0000, 0.5000, 0.2914).

[2]
SrAlW2 | GGA-PBE | optimized geometry

The total magnetic moment is 0.0 μB/f.u. The value obtained for the energy relative to the elements is 3.201 eV/f.u.

The space group is Immm (No. 71) and the conventional cell measures 2.7376, 5.2537 and 11.0167 Å, with angles of 90.00, 90.00 and 90.00 degrees. The asymmetric unit holds Sr at (0.0000, 0.0000, 0.0000), Al at (0.0000, 0.0000, 0.5000) and W at (0.0000, 0.5000, 0.2108).

[3]
SrAlW2 | GGA-PBE | optimized geometry

The total magnetic moment is 0.0 μB/f.u. The value obtained for the energy relative to the elements is 2.581 eV/f.u.

The space group is P4/mmm (No. 123) and the conventional cell measures 3.4821, 3.4821 and 7.0972 Å, with angles of 90.00, 90.00 and 90.00 degrees. The asymmetric unit holds Sr at (0.0000, 0.0000, 0.0000), Al at (0.0000, 0.0000, 0.5000) and W at (0.5000, 0.5000, 0.3363).

[4]
SrAlW4 | GGA-PBE | optimized geometry

The total magnetic moment is 0.0 μB/f.u. The value obtained for the energy relative to the elements is 4.302 eV/f.u.

The space group is F-43m (No. 216) and the conventional cell measures 7.7465, 7.7465 and 7.7465 Å, with angles of 90.00, 90.00 and 90.00 degrees. The asymmetric unit holds Sr at (0.0000, 0.0000, 0.0000), Al at (0.2500, 0.2500, 0.2500) and W at (0.1254, 0.1254, 0.6254).

[5]
SrAlW2 | GGA-PBE | optimized geometry

The total magnetic moment is 0.0 μB/f.u. The value obtained for the energy relative to the elements is 1.500 eV/f.u.

The space group is P4mm (No. 99) and the conventional cell measures 3.3196, 3.3196 and 7.6704 Å, with angles of 90.00, 90.00 and 90.00 degrees. The asymmetric unit holds Sr at (0.0000, 0.0000, 0.0000), Al at (0.5000, 0.5000, 0.6804), W at (0.0000, 0.0000, 0.4812) and W at (0.5000, 0.5000, 0.3188).

[6]
SrAlW2 | GGA-PBE | optimized geometry

The total magnetic moment is 0.0 μB/f.u. The value obtained for the energy relative to the elements is 3.176 eV/f.u.

The space group is R3m (No. 160, hexagonal axes) and the conventional cell measures 2.9205, 2.9205 and 31.1271 Å, with angles of 90.00, 90.00 and 120.00 degrees. The asymmetric unit holds Sr at (0.0000, 0.0000, 0.0000), Al at (0.0000, 0.0000, 0.7589), W at (0.0000, 0.0000, 0.2398) and W at (0.0000, 0.0000, 0.4972).